Here is HoPSe4 after structural relaxation from the Alexandria database. Energies are from PBE.

abc: 7.9063 7.9068 7.4147
angles: 104.07 104.07 122.96
With the nearest neighbours (Å) after each atom.
Fractional coordinates of all 12 atoms:
Se 0.8575 0.2549 0.4645  1 P 2.27
Se 0.7542 0.3561 0.9635  1 P 2.27
Se 0.6071 0.7096 0.4645  1 P 2.27
Se 0.2093 0.1074 0.9635  1 P 2.27
Se 0.3929 0.2904 0.5355  1 P 2.27
Se 0.1425 0.7451 0.5355  1 P 2.27
Se 0.7907 0.8926 0.0365  1 P 2.27
Se 0.2458 0.6439 0.0365  1 P 2.27
Ho 0.8751 0.6251 0.7502  8 Se 2.85-3.08
Ho 0.1249 0.3749 0.2498  8 Se 2.85-3.08
P 0.6253 0.8753 0.2506  4 Se 2.27
P 0.3747 0.1247 0.7494  4 Se 2.27

Computed properties:
total moment: 0.0 μB/cell
SG: C2/c
total energy: -0.173 Ha/atom